No. 1
Compound: BaNaIn2Pt2
Source: the Alexandria database
Functional: GGA-PBE
Structure: relaxed

Properties
Formation energy, meV per atom: -573

a b c (Å): 4.7950 4.7950 7.5495
angles (deg): 90.00 90.00 120.00
Fractional positions:
Ba  0.0000  0.0000  0.0000
Na  0.0000  0.0000  0.5000
In  0.3333  0.6667  0.3277
In  0.6667  0.3333  0.6723
Pt  0.3333  0.6667  0.7040
Pt  0.6667  0.3333  0.2960


No. 2
Compound: NdSc2Sb
Source: the Alexandria database
Functional: GGA-PBE
Structure: relaxed

Properties
E_form (uncorrected), meV/atom: -10
Energy relative to the lowest polymorph listed for this composition, meV/atom: 549.4

a b c (Å): 10.5952 10.5952 10.5952
angles (deg): 20.09 20.09 20.09
Fractional positions:
Nd  0.0000  0.0000  0.0000
Sc  0.1064  0.1064  0.1064
Sc  0.8936  0.8936  0.8936
Sb  0.5000  0.5000  0.5000


No. 3
Compound: AgTeAu
Source: the Alexandria database
Functional: GGA-PBE
Structure: relaxed

Properties
E_form (uncorrected), meV/atom: 197

a b c (Å): 7.4006 7.3483 3.0816
angles (deg): 78.89 76.99 24.12
Fractional positions:
Ag  0.0000  0.0000  0.0000
Te  0.3258  0.3258  0.6742
Au  0.6379  0.6379  0.3621


No. 4
Compound: Cu2GePdRh
Source: the Alexandria database
Functional: GGA-PBE
Structure: relaxed

Properties
Formation energy, meV per atom: 1036

a b c (Å): 4.6101 4.6101 4.8449
angles (deg): 90.00 90.00 90.00
Fractional positions:
Cu  0.0000  0.5000  0.0000
Cu  0.5000  0.0000  0.0000
Ge  0.0000  0.0000  0.5000
Pd  0.5000  0.5000  0.5000
Rh  0.5000  0.5000  0.0000


Number 3 is which compound? AgTeAu


What is the formula in the second record? NdSc2Sb